No. 1
The following is a PBE-GGA calculation of a geometry-optimized MgTcB4 structure, from the Open Quantum Materials Database.

Unit cell a=2.999 b=2.999 c=6.939 alpha=90.00 beta=90.00 gamma=120.00
Site moments in Bohr magnetons follow the coordinates.
Element x y z (fractional)
Mg 0.000 0.000 0.000  0.00
B 0.667 0.333 0.743  0.01
B 0.667 0.333 0.257  0.01
B 0.333 0.667 0.743  0.01
B 0.333 0.667 0.257  0.01
Tc 0.000 0.000 0.500  0.26

**Total moment**: 0.35 μB per cell
**Crystal system**: hexagonal
**Polymorph energy (0 for the lowest one)**: 108 meV/atom

=====

No. 2
The following is a PBE-GGA calculation of a geometry-optimized BaPa structure, from the Open Quantum Materials Database.

Unit cell a=3.396 b=3.396 c=6.576 alpha=90.00 beta=90.00 gamma=120.00
Site moments in Bohr magnetons follow the coordinates.
Element x y z (fractional)
Ba 0.667 0.333 0.750  0.03
Pa 0.333 0.667 0.250  0.47

**Total moment**: 0.65 μB per cell
**Crystal system**: hexagonal
**Polymorph energy (0 for the lowest one)**: 0 meV/atom

=====

No. 3
The following is a PBE-GGA calculation of a geometry-optimized Y2Er4CuTe2 structure, from the Open Quantum Materials Database.

Unit cell a=3.930 b=8.368 c=8.368 alpha=120.19 beta=90.00 gamma=90.00
Element x y z (fractional)
Y 0.000 0.597 0.000
Y 0.000 0.000 0.597
Er 0.500 0.001 0.242
Er 0.000 0.402 0.402
Er 0.500 0.242 0.001
Er 0.500 0.757 0.757
Te 0.500 0.333 0.666
Te 0.500 0.666 0.333
Cu 0.000 0.001 0.001

**Total moment**: 0.06 μB per cell
**Crystal system**: orthorhombic
**Calculated total energy**: -47.0 eV per cell

=====

No. 4
The following is a PBE-GGA calculation of a geometry-optimized CsLaU structure, from the Open Quantum Materials Database.

Unit cell a=5.760 b=5.760 c=5.760 alpha=60.00 beta=60.00 gamma=60.00
Element x y z (fractional)
La 0.000 0.000 0.000
U 0.750 0.750 0.750
Cs 0.250 0.250 0.250

**Total moment**: 5.79 μB per cell
**Crystal system**: cubic
**Polymorph energy (0 for the lowest one)**: 0 meV/atom

=====

No. 5
The following is a PBE-GGA calculation of a geometry-optimized Ge2PdSe structure, from the Open Quantum Materials Database.

Unit cell a=3.604 b=5.778 c=7.666 alpha=90.00 beta=90.00 gamma=90.00
Element x y z (fractional)
Ge 0.000 0.508 0.442
Ge 0.000 0.976 0.057
Ge 0.500 0.024 0.557
Ge 0.500 0.492 0.942
Pd 0.500 0.751 0.248
Pd 0.000 0.249 0.748
Se 0.500 0.253 0.253
Se 0.000 0.747 0.753

**Crystal system**: orthorhombic
**Calculated total energy**: -36.3 eV per cell

=====

No. 6
The following is a PBE-GGA calculation of a geometry-optimized HoTaN2O structure, from the Open Quantum Materials Database.

Unit cell a=6.176 b=6.176 c=12.307 alpha=90.00 beta=90.00 gamma=120.00
Element x y z (fractional)
O 0.333 0.667 0.013
O 0.000 0.000 0.483
O 0.667 0.333 0.013
O 0.667 0.333 0.513
O 0.000 0.000 0.983
O 0.333 0.667 0.513
N 0.645 0.645 0.844
N 0.355 0.000 0.844
N 0.000 0.312 0.160
N 0.000 0.688 0.660
N 0.000 0.645 0.344
N 0.000 0.355 0.844
N 0.688 0.688 0.160
N 0.312 0.000 0.160
N 0.645 0.000 0.344
N 0.312 0.312 0.660
N 0.355 0.355 0.344
N 0.688 0.000 0.660
Ho 0.333 0.667 0.240
Ho 0.000 0.000 0.270
Ho 0.667 0.333 0.740
Ho 0.000 0.000 0.770
Ho 0.667 0.333 0.240
Ho 0.333 0.667 0.740
Ta 0.666 0.000 0.501
Ta 0.000 0.666 0.501
Ta 0.334 0.334 0.501
Ta 0.666 0.666 0.001
Ta 0.000 0.334 0.001
Ta 0.334 0.000 0.001

**Total moment**: 0.00 μB per cell
**Crystal system**: hexagonal
**Calculated total energy**: -272.5 eV per cell

=====

No. 7
The following is a PBE-GGA calculation of a geometry-optimized ZrCuBPd structure, from the Open Quantum Materials Database.

Unit cell a=4.265 b=4.265 c=4.265 alpha=60.00 beta=60.00 gamma=60.00
Element x y z (fractional)
Pd 0.500 0.500 0.500
Cu 0.750 0.750 0.750
Zr 0.000 0.000 0.000
B 0.250 0.250 0.250

**Total moment**: 0.00 μB per cell
**Crystal system**: cubic
**Polymorph energy (0 for the lowest one)**: 0 meV/atom

=====

No. 8
The following is a PBE-GGA calculation of a geometry-optimized Cs3In2Cu4Cl13 structure, from the Open Quantum Materials Database.

Unit cell a=10.506 b=10.506 c=10.506 alpha=90.00 beta=90.00 gamma=90.00
Element x y z (fractional)
Cu 0.371 0.371 0.371
Cu 0.371 0.629 0.629
Cu 0.629 0.371 0.629
Cu 0.129 0.871 0.871
Cu 0.129 0.129 0.129
Cu 0.871 0.871 0.129
Cu 0.871 0.129 0.871
Cu 0.629 0.629 0.371
Cl 0.753 0.753 0.504
Cl 0.247 0.247 0.504
Cl 0.253 0.253 0.996
Cl 0.253 0.747 0.004
Cl 0.747 0.253 0.004
Cl 0.247 0.504 0.247
Cl 0.996 0.747 0.747
Cl 0.253 0.004 0.747
Cl 0.004 0.747 0.253
Cl 0.747 0.004 0.253
Cl 0.247 0.753 0.496
Cl 0.753 0.247 0.496
Cl 0.753 0.496 0.247
Cl 0.996 0.253 0.253
Cl 0.004 0.253 0.747
Cl 0.496 0.247 0.753
Cl 0.496 0.753 0.247
Cl 0.747 0.996 0.747
Cl 0.247 0.496 0.753
Cl 0.753 0.504 0.753
Cl 0.000 0.000 0.000
Cl 0.504 0.753 0.753
Cl 0.500 0.500 0.500
Cl 0.504 0.247 0.247
Cl 0.747 0.747 0.996
Cl 0.253 0.996 0.253
In 0.750 0.250 0.250
In 0.750 0.750 0.750
In 0.250 0.750 0.250
In 0.250 0.250 0.750
Cs 0.500 0.000 0.000
Cs 0.000 0.500 0.000
Cs 0.500 0.000 0.500
Cs 0.000 0.500 0.500
Cs 0.000 0.000 0.500
Cs 0.500 0.500 0.000

**Crystal system**: cubic
**Calculated total energy**: -144.2 eV per cell